DFT (GGA+U) results for crystalline Pm3Ni3PdO8 at its relaxed geometry.

abc: 12.8961 6.2534 6.0701
angles: 90.00 115.96 90.00
With the nearest neighbours (Å) after each atom.
Space group C2/m (No. 12)
Unique sites:
Pm (0.0000, 0.0000, 0.0000) [2 per cell]  6 O 2.41-2.44
Pm (0.2500, 0.2500, 0.5000) [4 per cell]  6 O 2.33-2.39
Ni (0.0000, 0.5000, 0.5000) [2 per cell]  4 O 2.09
Ni (0.2500, 0.2500, 0.0000) [4 per cell]  4 O 2.05-2.11
Pd (0.0000, 0.0000, 0.5000) [2 per cell]  4 O 2.07
O (0.0441, 0.2483, 0.3320) [8 per cell]  1 Pd 2.07, 1 Ni 2.09
O (0.2101, 0.0000, 0.1834) [4 per cell]  2 Ni 2.11, 2 Pm 2.35
O (0.2341, 0.5000, 0.2025) [4 per cell]  2 Ni 2.05

Output
Uncorrected energy ... -187.335 eV/cell